(1)
Computed, not measured: a relaxed TbDyTe2 crystal at the PBE-GGA level of DFT.

Lattice parameters (Å, degrees): 4.2098 4.2098 8.0480 74.84 74.84 60.00
Sites, in units of the cell vectors:
Te1 0.0819 0.0819 0.7542
Te2 0.2514 0.2514 0.2459
Dy1 0.6702 0.6702 0.9894
Tb1 0.4965 0.4965 0.5105

Computed properties:
Density (Mg/m³): 8.1
Space group: R3m (160)
Raw formation energy (meV/atom): -1320
Uncorrected energy (eV per atom): -5.20
Volume (Å³/cell): 117.8

***

(2)
Computed, not measured: a relaxed TbDy2Te5 crystal at the PBE-GGA level of DFT.

Lattice parameters (Å, degrees): 8.0905 8.0905 9.1676 116.18 116.18 90.00
Sites, in units of the cell vectors:
Tb1 0.7500 0.7500 0.5000
Tb2 0.2500 0.2500 0.5000
Te1 0.6912 0.1912 0.7019
Te2 0.0106 0.5106 0.7019
Te3 0.9894 0.4894 0.2981
Te4 0.0000 0.0000 0.0000
Te5 0.5000 0.5000 0.0000
Te6 0.4894 0.3088 0.2981
Te7 0.3088 0.8088 0.2981
Te8 0.1912 0.0106 0.7019
Te9 0.5106 0.6912 0.7019
Te10 0.8088 0.9894 0.2981
Dy1 0.3494 0.8494 0.0000
Dy2 0.6506 0.1506 0.0000
Dy3 0.1506 0.3494 0.0000
Dy4 0.8494 0.6506 0.0000

Computed properties:
Density (Mg/m³): 7.9
Space group: I4/mcm (140)
Raw formation energy (meV/atom): -1154
Uncorrected energy (eV per atom): -4.85
Volume (Å³/cell): 468.9

***

(3)
Computed, not measured: a relaxed Tb4Dy2Te9 crystal at the PBE-GGA level of DFT.

Lattice parameters (Å, degrees): 7.7131 7.7127 21.1263 90.00 90.00 60.00
Sites, in units of the cell vectors:
Te1 0.9997 0.6878 0.2500
Te2 0.3521 0.6680 0.4166
Te3 0.3124 0.6878 0.7500
Te4 0.6880 0.0000 0.7500
Te5 0.6677 0.9799 0.4166
Te6 0.6679 0.3523 0.9166
Te7 0.3321 0.6477 0.0834
Te8 0.3525 0.9798 0.9166
Te9 0.3323 0.0201 0.5834
Te10 0.9798 0.3522 0.4166
Te11 0.0003 0.3122 0.7500
Te12 0.9797 0.6681 0.9166
Te13 0.3120 0.0000 0.2500
Te14 0.6479 0.3320 0.5834
Te15 0.0203 0.3319 0.0834
Te16 0.6876 0.3122 0.2500
Te17 0.0202 0.6478 0.5834
Te18 0.6475 0.0202 0.0834
Tb1 0.6665 0.6666 0.3234
Tb2 0.3335 0.3334 0.6766
Tb3 0.6667 0.6666 0.0099
Tb4 0.6667 0.6666 0.5099
Tb5 0.3333 0.3334 0.4901
Tb6 0.3333 0.3334 0.9901
Tb7 0.6669 0.6666 0.8234
Tb8 0.3331 0.3334 0.1766
Dy1 0.0002 0.0000 0.6570
Dy2 0.9998 0.0000 0.1570
Dy3 0.9998 0.0000 0.3430
Dy4 0.0002 0.0000 0.8430

Computed properties:
Density (Mg/m³): 6.4
Space group: P-3c1 (165)
Raw formation energy (meV/atom): -1367
Uncorrected energy (eV per atom): -5.10
Volume (Å³/cell): 1088.4

***

(4)
Computed, not measured: a relaxed TbDyTe crystal at the PBE-GGA level of DFT.

Lattice parameters (Å, degrees): 3.9749 6.2285 7.8309 107.03 90.00 90.00
Sites, in units of the cell vectors:
Tb1 0.2500 0.8319 0.1095
Tb2 0.7500 0.1681 0.8905
Dy1 0.2500 0.7891 0.5499
Dy2 0.7500 0.2109 0.4501
Te1 0.7500 0.6264 0.7931
Te2 0.2500 0.3736 0.2069

Computed properties:
Density (Mg/m³): 8.0
Space group: P2_1/m (11)
Raw formation energy (meV/atom): -804
Uncorrected energy (eV per atom): -4.93
Volume (Å³/cell): 185.4

***

(5)
Computed, not measured: a relaxed TbDyTe crystal at the PBE-GGA level of DFT.

Lattice parameters (Å, degrees): 6.3425 6.3229 6.3425 65.15 80.67 114.85
Sites, in units of the cell vectors:
Tb1 0.2826 0.0000 0.2174
Tb2 0.7826 0.0000 0.7174
Dy1 0.2824 0.5000 0.7176
Dy2 0.7825 0.5000 0.2175
Te1 0.7825 0.0000 0.2175
Te2 0.2825 0.0000 0.7175

Computed properties:
Density (Mg/m³): 7.8
Space group: Pmmm (47)
Raw formation energy (meV/atom): -544
Uncorrected energy (eV per atom): -4.67
Volume (Å³/cell): 190.9

***

(6)
Computed, not measured: a relaxed Tb2DyTe4 crystal at the PBE-GGA level of DFT.

Lattice parameters (Å, degrees): 4.3522 7.5923 8.4761 116.91 104.88 90.00
Sites, in units of the cell vectors:
Tb1 0.2563 0.2427 0.5126
Tb2 0.7437 0.7573 0.4874
Te1 0.6282 0.2902 0.2563
Te2 0.8800 0.2107 0.7600
Te3 0.3718 0.7098 0.7437
Te4 0.1200 0.7893 0.2400
Dy1 0.0000 0.0000 0.0000

Computed properties:
Density (Mg/m³): 6.9
Space group: C2/m (12)
Raw formation energy (meV/atom): -1388
Uncorrected energy (eV per atom): -5.16
Volume (Å³/cell): 239.2

***

(7)
Computed, not measured: a relaxed TbDyTe2 crystal at the PBE-GGA level of DFT.

Lattice parameters (Å, degrees): 5.3559 5.3559 5.3559 60.00 60.00 60.00
Last column: magnetic moment on the atom in μB.
Sites, in units of the cell vectors:
Te1 0.2500 0.2500 0.2500  -0.01
Te2 0.7500 0.7500 0.7500  -0.01
Dy1 0.5000 0.5000 0.5000  0.42
Tb1 0.0000 0.0000 0.0000  0.42

Computed properties:
Density (Mg/m³): 8.8
Space group: Fm-3m (225)
Raw formation energy (meV/atom): -1176
Uncorrected energy (eV per atom): -5.05
Volume (Å³/cell): 108.6

***

(8)
Computed, not measured: a relaxed TbDyTe2 crystal at the PBE-GGA level of DFT.

Lattice parameters (Å, degrees): 4.4698 6.8706 9.7538 90.00 89.97 89.96
Sites, in units of the cell vectors:
Te1 0.7003 0.5322 0.6983
Te2 0.2015 0.0322 0.5177
Te3 0.2000 0.1675 0.9316
Te4 0.7027 0.6675 0.2844
Dy1 0.7013 0.2887 0.4322
Dy2 0.2000 0.7888 0.7838
Tb1 0.2024 0.9449 0.1930
Tb2 0.6996 0.4450 0.0230

Computed properties:
Density (Mg/m³): 6.4
Space group: P2_1 (4)
Raw formation energy (meV/atom): -929
Uncorrected energy (eV per atom): -4.81
Volume (Å³/cell): 299.5

***

(9)
Computed, not measured: a relaxed Tb3Dy2ThTe6 crystal at the PBE-GGA level of DFT.

Lattice parameters (Å, degrees): 4.3363 8.8572 9.7321 100.68 102.87 90.00
Sites, in units of the cell vectors:
Te1 0.3268 0.9065 0.6535
Te2 0.6686 0.5887 0.3371
Te3 0.9968 0.7396 0.9937
Te4 0.0032 0.2604 0.0063
Te5 0.6732 0.0935 0.3465
Te6 0.3314 0.4113 0.6629
Dy1 0.8360 0.6650 0.6721
Dy2 0.1640 0.3350 0.3279
Th1 0.5000 0.0000 0.0000
Tb1 0.5000 0.5000 0.0000
Tb2 0.1578 0.8400 0.3155
Tb3 0.8422 0.1600 0.6845

Computed properties:
Density (Mg/m³): 8.4
Space group: C2/m (12)
Raw formation energy (meV/atom): -1244
Uncorrected energy (eV per atom): -5.36
Volume (Å³/cell): 357.7

***

(10)
Computed, not measured: a relaxed TbDyTh2Te5 crystal at the PBE-GGA level of DFT.

Lattice parameters (Å, degrees): 5.4571 5.4571 11.5958 90.00 90.00 90.00
Sites, in units of the cell vectors:
Th1 0.5000 0.5000 0.6596
Th2 0.5000 0.5000 0.3404
Tb1 0.0000 0.0000 0.5000
Te1 0.0000 0.0000 0.7545
Te2 0.0000 0.5000 0.5000
Te3 0.5000 0.0000 0.5000
Te4 0.5000 0.5000 0.0000
Te5 0.0000 0.0000 0.2455
Dy1 0.0000 0.0000 0.0000

Computed properties:
Density (Mg/m³): 6.8
Space group: P4/mmm (123)
Raw formation energy (meV/atom): -509
Uncorrected energy (eV per atom): -4.93
Volume (Å³/cell): 345.3

***

(11)
Computed, not measured: a relaxed TbDy2Th3Te6 crystal at the PBE-GGA level of DFT.

Lattice parameters (Å, degrees): 4.2543 9.1771 10.1872 110.32 102.05 90.00
Sites, in units of the cell vectors:
Tb1 0.5000 0.0000 0.0000
Th1 0.5000 0.5000 0.0000
Th2 0.8337 0.1673 0.6675
Th3 0.1663 0.8327 0.3325
Te1 0.9967 0.7566 0.9933
Te2 0.6699 0.5753 0.3398
Te3 0.6640 0.0910 0.3281
Te4 0.3360 0.9090 0.6719
Te5 0.3301 0.4247 0.6602
Te6 0.0033 0.2434 0.0067
Dy1 0.8335 0.6673 0.6670
Dy2 0.1665 0.3327 0.3330

Computed properties:
Density (Mg/m³): 8.9
Space group: C2/m (12)
Raw formation energy (meV/atom): -1144
Uncorrected energy (eV per atom): -5.72
Volume (Å³/cell): 363.6

***

(12)
Computed, not measured: a relaxed Tb3DyTl4Te8 crystal at the PBE-GGA level of DFT.

Lattice parameters (Å, degrees): 8.9244 9.6732 8.9242 117.47 120.00 90.00
Sites, in units of the cell vectors:
Te1 0.7381 0.7143 0.4763
Te2 0.7625 0.2862 0.5250
Te3 0.7625 0.2862 0.0236
Te4 0.2375 0.7138 0.9764
Te5 0.2375 0.7138 0.4750
Te6 0.7389 0.7138 0.9764
Te7 0.2619 0.2857 0.5237
Te8 0.2611 0.2862 0.0236
Tl1 0.5000 0.0000 0.5000
Tl2 0.0000 0.0000 0.0000
Tl3 0.0000 0.0000 0.5000
Tl4 0.5000 0.0000 0.0000
Dy1 0.0000 0.5000 0.0000
Tb1 0.0000 0.5000 0.5000
Tb2 0.5000 0.5000 0.5000
Tb3 0.5000 0.5000 0.0000

Computed properties:
Density (Mg/m³): 7.3
Space group: R-3m (166)
Raw formation energy (meV/atom): -1058
Uncorrected energy (eV per atom): -4.38
Volume (Å³/cell): 564.6

***

Which of these has the highest uncorrected energy? Tb3DyTl4Te8